1.
Mg2ZrPb: relaxed, PBEsol.

Output
Calculated formation energy, eV/atom: -0.08
Space-group type: No. 71

Cell: 3.323 5.069 6.188 Å, 114.18 105.58 90.00°
Atoms (fractional coordinates):
Pb (0.500, 0.000, 0.000)
Zr (0.000, 0.500, 0.000)
Mg (0.251, 0.251, 0.502)
Mg (0.749, 0.749, 0.498)

2.
Zr2CdAg: relaxed, PBEsol.

Output
Calculated formation energy, eV/atom: -0.10
Space-group type: No. 123

Cell: 4.241 4.241 4.359 Å, 90.00 90.00 90.00°
Atoms (fractional coordinates):
Cd (0.000, 0.000, 0.500)
Zr (0.000, 0.500, 0.000)
Zr (0.500, 0.000, 0.000)
Ag (0.500, 0.500, 0.500)